A relaxed CsBi3Cl crystal, computed with PBE.

a = 6.433 Å, b = 6.433 Å, c = 6.433 Å
α = 90.00°, β = 90.00°, γ = 90.00°
Fractional positions:
Cs 0.000 0.000 0.000
Bi 0.000 0.000 0.500
Bi 0.000 0.500 0.000
Bi 0.500 0.000 0.000
Cl 0.500 0.500 0.500

Values from the calculation:
The energy relative to the lowest polymorph listed for this composition comes out at 1055.5 meV/atom. The calculated total energy comes out at -7.97 eV/f.u. The energy relative to the elements, uncorrected is 123 kJ per mole of atoms.